Entry 1:
This record from Alexandria describes a geometry-optimized Y2Pd5Rh structure. The functional is PBE.

## Properties
- formation energy (eV/atom) = -0.75
- total energy (hartree per atom) = -0.24000

POSCAR file:
```
Y2Pd5Rh
1.0
5.847 0.000 0.000
0.000 11.709 0.000
0.000 0.000 4.084
Y Pd Rh
4 10 2
Direct
0.247 0.123 0.000
0.253 0.623 0.000
0.747 0.377 0.000
0.753 0.877 0.000
0.000 0.500 0.500
0.003 0.251 0.500
0.248 0.875 0.000
0.252 0.375 0.000
0.497 0.751 0.500
0.500 0.000 0.500
0.503 0.249 0.500
0.748 0.625 0.000
0.752 0.125 0.000
0.997 0.749 0.500
0.000 0.000 0.500
0.500 0.500 0.500
```

Entry 2:
This record from Alexandria describes a geometry-optimized TmTlInPd structure. The functional is PBE.

## Properties
- formation energy (eV/atom) = -0.40
- total energy (hartree per atom) = -0.15035

POSCAR file:
```
TmTlInPd
1.0
0.000 3.544 3.544
3.544 0.000 3.544
3.544 3.544 0.000
Tm Tl In Pd
1 1 1 1
Direct
0.000 0.000 0.000
0.250 0.250 0.250
0.500 0.500 0.500
0.750 0.750 0.750
```

Entry 3:
This record from Alexandria describes a geometry-optimized Nd4TcSb structure. The functional is PBE.

## Properties
- uncorrected formation energy (meV per atom) = -383
- total energy (hartree per atom) = -0.21962

POSCAR file:
```
Nd4TcSb
1.0
4.480 -6.901 0.000
4.480 6.901 0.000
-2.407 0.000 5.922
Nd Tc Sb
8 2 2
Direct
0.061 0.719 0.939
0.212 0.353 0.640
0.281 0.939 0.561
0.353 0.212 0.140
0.647 0.788 0.860
0.719 0.061 0.439
0.788 0.647 0.360
0.939 0.281 0.061
0.001 0.999 0.250
0.999 0.001 0.750
0.374 0.626 0.250
0.626 0.374 0.750
```

Entry 4:
This record from Alexandria describes a geometry-optimized NpCoIr structure. The functional is PBE.

## Properties
- formation energy (eV/atom) = -0.29
- total energy (hartree per atom) = -0.36473

POSCAR file:
```
NpCoIr
1.0
-2.493 2.688 3.629
2.493 -2.688 3.629
2.493 2.688 -3.629
Np Co Ir
2 2 2
Direct
0.374 0.124 0.250
0.626 0.876 0.750
0.000 0.000 0.500
0.000 0.500 0.000
0.000 0.500 0.500
0.500 0.500 0.000
```

Entry 5:
This record from Alexandria describes a geometry-optimized Y2ScRhO structure. The functional is PBE.

## Properties
- uncorrected formation energy (meV per atom) = -1438
- total energy (hartree per atom) = -0.28487

POSCAR file:
```
Y2ScRhO
1.0
4.820 0.000 0.000
0.000 4.820 0.000
0.000 0.000 4.133
Y Sc Rh O
2 1 1 1
Direct
0.000 0.500 0.000
0.500 0.000 0.000
0.000 0.000 0.500
0.500 0.500 0.500
0.000 0.000 0.000
```

Entry 6:
This record from Alexandria describes a geometry-optimized DyTa2Ru3 structure. The functional is PBE.

## Properties
- formation energy (eV/atom) = -0.41
- total energy (hartree per atom) = -0.35906

POSCAR file:
```
DyTa2Ru3
1.0
3.158 0.000 0.000
0.000 3.158 0.000
0.000 0.000 10.446
Dy Ta Ru
1 2 3
Direct
0.000 0.000 0.000
0.000 0.000 0.340
0.000 0.000 0.660
0.500 0.500 0.201
0.500 0.500 0.500
0.500 0.500 0.799
```

Entry 7:
This record from Alexandria describes a geometry-optimized K2Li2Pb structure. The functional is PBE.

## Properties
- formation energy (eV/atom) = -0.06
- ΔE to the lowest computed polymorph (eV/atom) = 0.0000
- total energy (hartree per atom) = -0.07370

POSCAR file:
```
K2Li2Pb
1.0
7.667 0.000 0.000
0.000 7.667 0.000
0.000 0.000 5.982
K Li Pb
4 4 2
Direct
0.184 0.316 0.000
0.316 0.816 0.000
0.684 0.184 0.000
0.816 0.684 0.000
0.177 0.677 0.500
0.323 0.177 0.500
0.677 0.823 0.500
0.823 0.323 0.500
0.000 0.000 0.500
0.500 0.500 0.500
```

Entry 8:
This record from Alexandria describes a geometry-optimized BaOsBr2 structure. The functional is PBE.

## Properties
- uncorrected formation energy (meV per atom) = 374
- ΔE to the lowest computed polymorph (eV/atom) = 0.4577
- total energy (hartree per atom) = -0.13784

POSCAR file:
```
BaOsBr2
1.0
2.021 1.167 8.909
-2.021 1.167 8.909
0.000 -2.333 8.909
Ba Os Br
1 1 2
Direct
0.000 0.000 0.000
0.500 0.500 0.500
0.123 0.123 0.123
0.877 0.877 0.877
```

Entry 9:
This record from Alexandria describes a geometry-optimized TmAg4Hg4 structure. The functional is PBE.

## Properties
- formation energy (eV/atom) = -0.07
- total energy (hartree per atom) = -0.07215

POSCAR file:
```
TmAg4Hg4
1.0
-4.781 4.781 2.078
4.781 -4.781 2.078
4.781 4.781 -2.078
Tm Ag Hg
1 4 4
Direct
0.000 0.000 0.000
0.000 0.344 0.344
0.000 0.656 0.656
0.344 0.000 0.344
0.656 0.000 0.656
0.330 0.330 0.661
0.330 0.670 0.000
0.670 0.330 0.000
0.670 0.670 0.339
```

Entry 10:
This record from Alexandria describes a geometry-optimized Li5PdAu6 structure. The functional is PBE.

## Properties
- formation energy (eV/atom) = -0.49
- total energy (hartree per atom) = -0.12332

POSCAR file:
```
Li5PdAu6
1.0
-2.088 3.597 6.215
2.088 -3.597 6.215
2.088 3.597 -6.215
Li Pd Au
5 1 6
Direct
0.000 0.000 0.000
0.174 0.674 0.500
0.348 0.348 0.000
0.652 0.652 0.000
0.826 0.326 0.500
0.500 0.000 0.500
0.068 0.831 0.237
0.228 0.500 0.728
0.406 0.169 0.237
0.594 0.831 0.763
0.772 0.500 0.272
0.932 0.169 0.763
```

Entry 11:
This record from Alexandria describes a geometry-optimized BiTeIN2 structure. The functional is PBE.

## Properties
- uncorrected formation energy (meV per atom) = 1534
- ΔE to the lowest computed polymorph (eV/atom) = 0.0597
- total energy (hartree per atom) = -0.12903

POSCAR file:
```
BiTeIN2
1.0
4.245 0.000 0.000
0.000 4.245 0.000
0.000 0.000 7.519
Bi Te I N
1 1 1 2
Direct
0.000 0.000 0.000
0.500 0.500 0.500
0.500 0.500 0.000
0.000 0.500 0.500
0.500 0.000 0.500
```

Entry 12:
This record from Alexandria describes a geometry-optimized Ti3C2 structure. The functional is PBE.

## Properties
- formation energy (eV/atom) = -0.68
- total energy (hartree per atom) = -0.33454

POSCAR file:
```
Ti3C2
1.0
3.073 0.000 0.000
-1.536 2.661 0.000
0.000 0.000 15.166
Ti C
6 4
Direct
0.000 0.000 0.000
0.000 0.000 0.500
0.333 0.667 0.156
0.333 0.667 0.344
0.667 0.333 0.656
0.667 0.333 0.844
0.333 0.667 0.586
0.333 0.667 0.914
0.667 0.333 0.086
0.667 0.333 0.414
```